# PBE with a Hubbard U CuNiMo2O8, relaxed
# DOS(E_F)	0.497	states/eV/atom
# volume	12.927	Å³ per atom
# VASP energy	-6.124	eV/atom
data_CuNiMo2O8
_chemical_formula_sum 'Cu2 Ni2 Mo4 O16'
_space_group_name_H-M_alt 'I -4 m 2'
_space_group_IT_number 119
_space_group_name_Hall 'I -4 -2'
_cell_length_a 6.555
_cell_length_b 6.555
_cell_length_c 7.221
_cell_angle_alpha 90.00
_cell_angle_beta 90.00
_cell_angle_gamma 90.00
loop_
_atom_site_label
_atom_site_fract_x
_atom_site_fract_y
_atom_site_fract_z
Cu1 0.000 0.000 0.000
Ni1 0.000 0.500 0.250
Mo1 0.000 0.000 0.500
Mo2 0.000 0.500 0.750
O1 0.000 0.223 0.355
O2 0.000 0.279 0.898